Compound: Ta2RhCl
Source: the Alexandria database
Functional: PBE
Structure: optimized geometry

Geometry as extended XYZ:
```
4
Lattice="5.3588 -0.0200 0.0118 2.2601 4.8589 -0.0118 -3.0736 -3.5781 2.5432" Properties=species:S:1:pos:R:3 pbc="T T T"
Cl 1.4980 1.8501 1.2657
Ta 3.6277 2.3040 0.0000
Ta 0.1818 0.1154 0.0000
Rh 3.0473 -0.5893 1.2775
```

The energy relative to the lowest polymorph listed for this composition is 548 meV per atom. The value obtained for the uncorrected formation energy is 1.3 eV/f.u.

Compound: Tm2CI2
Source: the Alexandria database
Functional: PBE
Structure: optimized geometry

Geometry as extended XYZ:
```
5
Lattice="3.7513 0.0000 0.7004 1.8241 3.2926 0.6266 -0.2727 -0.1795 11.8570" Properties=species:S:1:pos:R:3 pbc="T T T"
I 3.2603 2.9456 3.3303
I 2.0424 0.1674 9.8537
Tm 2.4006 2.5457 7.9352
Tm 2.9021 0.5673 5.2488
C 0.7757 1.5565 6.2418
```

The value obtained for the uncorrected formation energy is -4.9 eV/f.u.

Compound: Pr3Mg2Ni4
Source: the Alexandria database
Functional: PBE
Structure: optimized geometry

Geometry as extended XYZ:
```
9
Lattice="4.1371 0.0000 0.0000 -2.0686 5.1029 0.1374 0.0000 -1.1317 8.9069" Properties=species:S:1:pos:R:3 pbc="T T T"
Mg 2.0686 0.8866 7.0297
Mg 0.0000 3.0846 2.0147
Pr 0.0000 3.0918 5.6359
Pr 2.0686 0.8794 3.4084
Pr 0.0000 0.0000 0.0000
Ni 0.0000 1.8120 8.3371
Ni 0.0000 0.0846 5.5089
Ni 2.0686 2.1591 0.7072
Ni 2.0686 3.8866 3.5354
```

As for the calculated total energy: -4.76 eV per atom.

Compound: ZrGaPt4
Source: the Alexandria database
Functional: PBE
Structure: optimized geometry

Geometry as extended XYZ:
```
24
Lattice="3.9244 0.0000 0.0000 0.0000 5.6640 0.0000 0.0000 0.0000 19.1031" Properties=species:S:1:pos:R:3 pbc="T T T"
Pt 2.9433 2.0876 5.7308
Pt 2.9433 4.9195 3.8208
Pt 2.9433 4.8104 8.8788
Pt 0.9811 0.5618 7.2771
Pt 0.9811 0.8536 10.2243
Pt 0.9811 0.6626 2.1966
Pt 2.9433 1.9784 0.6727
Pt 2.9433 2.1694 11.7482
Pt 0.9811 3.3937 2.2745
Pt 2.9433 5.0014 16.9065
Pt 2.9433 2.2702 16.8287
Pt 0.9811 3.4946 7.3550
Pt 0.9811 3.6856 18.4304
Pt 0.9811 3.5764 13.3724
Pt 2.9433 5.1022 11.8260
Pt 0.9811 0.7444 15.2823
Ga 2.9433 2.1648 14.3116
Ga 2.9433 4.9968 14.3431
Ga 0.9811 0.6672 4.7600
Ga 0.9811 3.4992 4.7916
Zr 2.9433 1.9732 8.5305
Zr 0.9811 0.8588 18.0820
Zr 0.9811 3.6907 10.5726
Zr 2.9433 4.8052 1.0211
```

The energy relative to the lowest polymorph listed for this composition is 0 meV per atom.

Compound: GaHgB
Source: the Alexandria database
Functional: PBE
Structure: optimized geometry

Geometry as extended XYZ:
```
6
Lattice="3.5534 0.0087 0.0024 1.7671 6.0498 0.1742 1.7917 -0.2893 5.0473" Properties=species:S:1:pos:R:3 pbc="T T T"
Ga 5.1092 3.3754 1.8005
Ga 3.3423 4.5950 4.1091
B 3.3308 3.6815 0.5269
B 5.1227 3.4816 3.9293
Hg 1.5556 0.1812 1.3707
Hg 5.1277 1.1707 4.2306
```

As for the calculated total energy: -2.99 eV per atom.

Compound: Sc3TlCu8
Source: the Alexandria database
Functional: PBE
Structure: optimized geometry

Geometry as extended XYZ:
```
12
Lattice="5.0627 0.0000 0.0000 -2.5313 4.3844 0.0000 0.0000 0.0000 8.2449" Properties=species:S:1:pos:R:3 pbc="T T T"
Cu -1.2788 3.6612 2.0128
Cu 1.2788 3.6612 2.0128
Cu 2.5313 0.0158 6.2437
Cu 1.2793 2.1843 6.2437
Cu 0.0000 2.9229 4.1244
Cu 0.0000 2.9229 0.0222
Cu 0.0000 1.4463 2.0128
Cu 3.7833 2.1843 6.2437
Sc 2.5313 1.4615 3.6631
Sc 2.5313 1.4615 0.5367
Sc 0.0000 0.0000 7.6602
Tl 0.0000 0.0000 4.5713
```

As for the calculated total energy: -4.70 eV per atom.

What did the third record say?
Compound: Pr3Mg2Ni4
Source: the Alexandria database
Functional: PBE
Structure: optimized geometry

Geometry as extended XYZ:
```
9
Lattice="4.1371 0.0000 0.0000 -2.0686 5.1029 0.1374 0.0000 -1.1317 8.9069" Properties=species:S:1:pos:R:3 pbc="T T T"
Mg 2.0686 0.8866 7.0297
Mg 0.0000 3.0846 2.0147
Pr 0.0000 3.0918 5.6359
Pr 2.0686 0.8794 3.4084
Pr 0.0000 0.0000 0.0000
Ni 0.0000 1.8120 8.3371
Ni 0.0000 0.0846 5.5089
Ni 2.0686 2.1591 0.7072
Ni 2.0686 3.8866 3.5354
```

As for the calculated total energy: -4.76 eV per atom.

Repeat the sixth record exactly.
Compound: Sc3TlCu8
Source: the Alexandria database
Functional: PBE
Structure: optimized geometry

Geometry as extended XYZ:
```
12
Lattice="5.0627 0.0000 0.0000 -2.5313 4.3844 0.0000 0.0000 0.0000 8.2449" Properties=species:S:1:pos:R:3 pbc="T T T"
Cu -1.2788 3.6612 2.0128
Cu 1.2788 3.6612 2.0128
Cu 2.5313 0.0158 6.2437
Cu 1.2793 2.1843 6.2437
Cu 0.0000 2.9229 4.1244
Cu 0.0000 2.9229 0.0222
Cu 0.0000 1.4463 2.0128
Cu 3.7833 2.1843 6.2437
Sc 2.5313 1.4615 3.6631
Sc 2.5313 1.4615 0.5367
Sc 0.0000 0.0000 7.6602
Tl 0.0000 0.0000 4.5713
```

As for the calculated total energy: -4.70 eV per atom.